Here is a crystal of MgPOs2 relaxed with PBEsol from Alexandria. Energies are from meta-GGA SCAN.

Summary:
total energy: -39.664 eV/atom
DOS(E_F): 2.39 states/eV per cell
energy above the most stable polymorph in this dataset: 0.060 eV per atom
total magnetization: 0.00 Bohr magnetons per cell
symmetry: P4/mmm

Cell: 4.1776 4.1776 3.0076 Å, 90.00 90.00 90.00°
Last column: nearest neighbours and their distance in Å.
Positions (direct):
Mg  0.0000  0.0000  0.0000  8 Os 2.57
P  0.5000  0.5000  0.0000  8 Os 2.57
Os  0.0000  0.5000  0.5000  4 Mg 2.57, 4 P 2.57
Os  0.5000  0.0000  0.5000  4 Mg 2.57, 4 P 2.57